{
  "formula": "ScCo2Sn",
  "functional": "PBE",
  "state": "optimized geometry",
  "lattice_angstrom": [[4.0899, 0.0000, 0.0000], [0.0000, 4.0899, 0.0000], [2.0450, 2.0450, 8.5542]],
  "species": ["Co", "Co", "Co", "Co", "Sn", "Sn", "Sc", "Sc"],
  "fractional_positions": [[0.3750, 0.4358, 0.7500], [0.8750, 0.8142, 0.7500], [0.1858, 0.6250, 0.2500], [0.5642, 0.1250, 0.2500], [0.7500, 0.2500, 0.5000], [0.0000, 0.0000, 0.0000], [0.5000, 0.5000, 0.0000], [0.2500, 0.7500, 0.5000]],
  "e_form_ev_per_fu": 1.22,
  "total_magnetization_mub_per_fu": 2.05,
  "dos_at_fermi_per_ev_fu": 4.9
}